Compound: CdAsRu2S
Source: the Alexandria database
Functional: GGA-PBE
Structure: optimized geometry

The space group is P4/mmm (No. 123) and the conventional cell measures 4.6181, 4.6181 and 4.8491 Å, with angles of 90.00, 90.00 and 90.00 degrees. The asymmetric unit holds Cd at (0.0000, 0.0000, 0.0000), As at (0.5000, 0.5000, 0.5000), Ru at (0.0000, 0.5000, 0.5000) and S at (0.5000, 0.5000, 0.0000).

The calculation puts the uncorrected formation energy at 925.3 meV/atom.